1.
Here is KTlAu after structural relaxation from Alexandria via LeMat-Bulk. Energies are from PBE-GGA.

The structure in POSCAR format:
```
KTlAu
1.0
4.893 0.000 0.000
-0.001 6.188 0.000
-2.431 -3.078 6.602
K Tl Au
2 2 2
direct
0.118 0.369 0.238
0.882 0.631 0.762
0.423 0.173 0.847
0.577 0.827 0.153
0.196 0.946 0.392
0.804 0.054 0.608
```

Properties
Space group ... P-1 (2)
Mass density ... 7.32 g/cm³
Formation energy ... -198 meV/atom
Spin magnetization ... 0.000 μB per atom


2.
Here is K2TlAu3 after structural relaxation from Alexandria via LeMat-Bulk. Energies are from PBE-GGA.

The structure in POSCAR format:
```
K2TlAu3
1.0
0.000 4.892 8.356
4.493 0.000 8.356
4.493 4.892 0.000
K Tl Au
4 2 6
direct
0.242 0.758 0.758
0.250 0.250 0.250
0.750 0.750 0.750
0.758 0.242 0.242
0.334 0.334 0.666
0.666 0.666 0.334
0.163 0.672 0.328
0.164 0.164 0.836
0.328 0.837 0.163
0.672 0.163 0.837
0.836 0.836 0.164
0.837 0.328 0.672
```

Properties
Space group ... Fmmm (69)
Mass density ... 7.90 g/cm³
Formation energy ... -211 meV/atom
Spin magnetization ... 0.000 μB per atom